Entry 1:
Below is a relaxed structure of TaSI, with properties calculated at the GGA-PBE level.

It has space group C2/m (No. 12), with a = 14.948 Å, b = 3.537 Å, c = 10.117 Å, α = 90.00°, β = 131.10° and γ = 90.00°. The inequivalent atoms are Ta at (0.226, 0.000, 0.371), S at (0.091, 0.500, 0.317) and I at (0.192, 0.000, 0.748).

***

Entry 2:
Below is a relaxed structure of CaOsBr2, with properties calculated at the GGA-PBE level.

It has space group Fm-3m (No. 225), with a = 7.097 Å, b = 7.097 Å, c = 7.097 Å, α = 90.00°, β = 90.00° and γ = 90.00°. The inequivalent atoms are Ca at (0.000, 0.000, 0.000), Os at (0.000, 0.000, 0.500) and Br at (0.250, 0.250, 0.250).

***

Values of total magnetization, in order: 0.00; 0.65, all in μB/atom.
Values of E_form (uncorrected), in order: -0.615; 0.306, all in eV/atom.